Compound: LiPbC2N
Source: the Alexandria database
Functional: PBE
Structure: relaxed

abc: 4.5294 4.5294 4.4351
angles: 90.00 90.00 90.00
Fractional coordinates of all 5 atoms:
Li  0.0000  0.0000  0.0000
Pb  0.5000  0.5000  0.5000
C  0.0000  0.5000  0.5000
C  0.5000  0.0000  0.5000
N  0.5000  0.5000  0.0000

Results
E, eV per atom: -3.7414
Calculated density, g cm⁻³: 4.60



Compound: Tb3Pr2Sm3
Source: the Alexandria database
Functional: PBE
Structure: relaxed

abc: 10.8509 10.8509 10.8509
angles: 152.66 152.65 39.06
Fractional coordinates of all 8 atoms:
Tb  0.0000  0.0000  0.0000
Tb  0.1233  0.6233  0.5000
Tb  0.8767  0.3767  0.5000
Pr  0.2500  0.2500  0.0000
Pr  0.7500  0.7500  0.0000
Sm  0.3771  0.8771  0.5000
Sm  0.5000  0.5000  0.0000
Sm  0.6229  0.1229  0.5000

Results
Energy of formation, eV/atom: 0.02
Energy above the most stable polymorph in this dataset, meV per atom: 0
E, eV per atom: -4.6834
Calculated density, g cm⁻³: 7.46



Compound: MgZnP2
Source: the Alexandria database
Functional: PBE
Structure: relaxed

abc: 3.0827 3.0827 7.2608
angles: 90.00 90.00 104.04
Fractional coordinates of all 4 atoms:
Mg  0.0000  0.0000  0.0000
Zn  0.0000  0.0000  0.5000
P  0.5000  0.5000  0.2574
P  0.5000  0.5000  0.7426

Results
Energy of formation, eV/atom: 0.13
Energy above the most stable polymorph in this dataset, meV per atom: 292
E, eV per atom: -3.2876
Calculated density, g cm⁻³: 3.76